Entry 1:
First-principles (meta-GGA SCAN) data for a crystal of BeSbN2F relaxed with PBEsol, as listed in Alexandria via LeMat-Bulk.

Properties
- Space-group type: P4/mmm
- Uncorrected formation energy: -0.001 eV/atom
- Total DFT energy (no corrections): -63.7 eV/cell

a = 3.745 Å, b = 3.745 Å, c = 3.313 Å
α = 90.00°, β = 90.00°, γ = 90.00°
Fractional coordinates of all 5 atoms:
Be (0.000, 0.000, 0.000)
Sb (0.500, 0.500, 0.500)
N (0.000, 0.500, 0.000)
N (0.500, 0.000, 0.000)
F (0.000, 0.000, 0.500)

=====

Entry 2:
First-principles (meta-GGA SCAN) data for a crystal of ReCl relaxed with PBEsol, as listed in Alexandria via LeMat-Bulk.

Properties
- Space-group type: Pm-3m
- Uncorrected formation energy: 1.939 eV/atom
- Total DFT energy (no corrections): -75.2 eV/cell
- Energy relative to the lowest polymorph listed for this composition: 1909 meV/atom

a = 3.029 Å, b = 3.029 Å, c = 3.029 Å
α = 90.00°, β = 90.00°, γ = 90.00°
Fractional coordinates of all 2 atoms:
Re (0.000, 0.000, 0.000)
Cl (0.500, 0.500, 0.500)

=====

Entry 3:
First-principles (meta-GGA SCAN) data for a crystal of Li2CaScBi relaxed with PBEsol, as listed in Alexandria via LeMat-Bulk.

Properties
- Space-group type: P4/mmm
- Total DFT energy (no corrections): -104.7 eV/cell
- E_form: 0.52 eV per atom

a = 4.923 Å, b = 4.923 Å, c = 5.695 Å
α = 90.00°, β = 90.00°, γ = 90.00°
Fractional coordinates of all 5 atoms:
Li (0.000, 0.500, 0.000)
Li (0.500, 0.000, 0.000)
Ca (0.000, 0.000, 0.000)
Sc (0.500, 0.500, 0.500)
Bi (0.000, 0.000, 0.500)

=====

Entry 4:
First-principles (meta-GGA SCAN) data for a crystal of TaCr2Br relaxed with PBEsol, as listed in Alexandria via LeMat-Bulk.

Properties
- Space-group type: Pmmm
- Uncorrected formation energy: 0.713 eV/atom
- Total DFT energy (no corrections): -120.0 eV/cell
- Energy relative to the lowest polymorph listed for this composition: 386 meV/atom

a = 3.014 Å, b = 4.345 Å, c = 4.533 Å
α = 90.00°, β = 90.00°, γ = 90.00°
Fractional coordinates of all 4 atoms:
Ta (0.000, 0.000, 0.000)
Cr (0.000, 0.500, 0.500)
Cr (0.500, 0.500, 0.000)
Br (0.500, 0.000, 0.500)

=====

Entry 5:
First-principles (meta-GGA SCAN) data for a crystal of BaP2Pb relaxed with PBEsol, as listed in Alexandria via LeMat-Bulk.

Properties
- Space-group type: Pm
- Total DFT energy (no corrections): -137.6 eV/cell
- E_form: -0.36 eV per atom

a = 4.494 Å, b = 4.319 Å, c = 6.053 Å
α = 90.00°, β = 111.69°, γ = 90.00°
Fractional coordinates of all 4 atoms:
Ba (0.000, 0.000, 0.000)
P (0.612, 0.500, 0.225)
P (0.706, 0.000, 0.414)
Pb (0.264, 0.500, 0.530)

=====

Entry 6:
First-principles (meta-GGA SCAN) data for a crystal of MnAlSbI2 relaxed with PBEsol, as listed in Alexandria via LeMat-Bulk.

Properties
- Space-group type: P4/mmm
- Uncorrected formation energy: 0.358 eV/atom
- Total DFT energy (no corrections): -135.0 eV/cell

a = 5.363 Å, b = 5.363 Å, c = 5.450 Å
α = 90.00°, β = 90.00°, γ = 90.00°
Fractional coordinates of all 5 atoms:
Mn (0.000, 0.000, 0.000)
Al (0.500, 0.500, 0.500)
Sb (0.500, 0.500, 0.000)
I (0.000, 0.500, 0.500)
I (0.500, 0.000, 0.500)

=====

Entry 7:
First-principles (meta-GGA SCAN) data for a crystal of HRuRh3 relaxed with PBEsol, as listed in Alexandria via LeMat-Bulk.

Properties
- Space-group type: Pm-3m
- Total DFT energy (no corrections): -139.0 eV/cell

a = 3.828 Å, b = 3.828 Å, c = 3.828 Å
α = 90.00°, β = 90.00°, γ = 90.00°
Fractional coordinates of all 5 atoms:
H (0.000, 0.000, 0.000)
Ru (0.500, 0.500, 0.500)
Rh (0.000, 0.000, 0.500)
Rh (0.000, 0.500, 0.000)
Rh (0.500, 0.000, 0.000)

=====

Entry 8:
First-principles (meta-GGA SCAN) data for a crystal of KTlAu2 relaxed with PBEsol, as listed in Alexandria via LeMat-Bulk.

Properties
- Space-group type: R3m
- Total DFT energy (no corrections): -660.2 eV/cell
- E_form: -0.27 eV per atom
- Energy relative to the lowest polymorph listed for this composition: 0 meV/atom

a = 4.718 Å, b = 4.718 Å, c = 17.344 Å
α = 90.00°, β = 90.00°, γ = 120.00°
Fractional coordinates of all 12 atoms:
K (0.000, 0.000, 0.000)
K (0.333, 0.667, 0.667)
K (0.667, 0.333, 0.333)
Tl (0.000, 0.000, 0.799)
Tl (0.333, 0.667, 0.465)
Tl (0.667, 0.333, 0.132)
Au (0.000, 0.000, 0.205)
Au (0.000, 0.000, 0.536)
Au (0.333, 0.667, 0.203)
Au (0.333, 0.667, 0.872)
Au (0.667, 0.333, 0.538)
Au (0.667, 0.333, 0.870)

=====

Entry 9:
First-principles (meta-GGA SCAN) data for a crystal of Y2InPb relaxed with PBEsol, as listed in Alexandria via LeMat-Bulk.

Properties
- Space-group type: Amm2
- Total DFT energy (no corrections): -335.8 eV/cell
- E_form: -0.77 eV per atom

a = 4.289 Å, b = 4.508 Å, c = 11.356 Å
α = 90.00°, β = 90.00°, γ = 90.00°
Fractional coordinates of all 8 atoms:
Y (0.000, 0.000, 0.000)
Y (0.000, 0.500, 0.500)
Y (0.500, 0.000, 0.271)
Y (0.500, 0.500, 0.771)
In (0.000, 0.000, 0.728)
In (0.000, 0.500, 0.228)
Pb (0.500, 0.000, 0.546)
Pb (0.500, 0.500, 0.046)

=====

Entry 10:
First-principles (meta-GGA SCAN) data for a crystal of AlZn3 relaxed with PBEsol, as listed in Alexandria via LeMat-Bulk.

Properties
- Space-group type: Cmmm
- Total DFT energy (no corrections): -96.5 eV/cell
- E_form: 0.01 eV per atom

a = 5.608 Å, b = 7.786 Å, c = 2.705 Å
α = 90.00°, β = 90.00°, γ = 90.00°
Fractional coordinates of all 8 atoms:
Al (0.000, 0.000, 0.000)
Al (0.500, 0.500, 0.000)
Zn (0.000, 0.500, 0.000)
Zn (0.250, 0.250, 0.500)
Zn (0.250, 0.750, 0.500)
Zn (0.500, 0.000, 0.000)
Zn (0.750, 0.250, 0.500)
Zn (0.750, 0.750, 0.500)

=====

Entry 11:
First-principles (meta-GGA SCAN) data for a crystal of BCl2F relaxed with PBEsol, as listed in Alexandria via LeMat-Bulk.

Properties
- Space-group type: Fm-3m
- Uncorrected formation energy: 0.932 eV/atom
- Total DFT energy (no corrections): -92.8 eV/cell

a = 5.778 Å, b = 5.778 Å, c = 5.778 Å
α = 90.00°, β = 90.00°, γ = 90.00°
Fractional coordinates of all 16 atoms:
B (0.000, 0.000, 0.000)
B (0.000, 0.500, 0.500)
B (0.500, 0.000, 0.500)
B (0.500, 0.500, 0.000)
Cl (0.250, 0.250, 0.250)
Cl (0.250, 0.250, 0.750)
Cl (0.250, 0.750, 0.250)
Cl (0.250, 0.750, 0.750)
Cl (0.750, 0.250, 0.250)
Cl (0.750, 0.250, 0.750)
Cl (0.750, 0.750, 0.250)
Cl (0.750, 0.750, 0.750)
F (0.000, 0.000, 0.500)
F (0.000, 0.500, 0.000)
F (0.500, 0.000, 0.000)
F (0.500, 0.500, 0.500)

=====

Entry 12:
First-principles (meta-GGA SCAN) data for a crystal of CaZrZn2 relaxed with PBEsol, as listed in Alexandria via LeMat-Bulk.

Properties
- Space-group type: P4/mmm
- Total DFT energy (no corrections): -68.5 eV/cell
- E_form: -0.29 eV per atom

a = 3.400 Å, b = 3.400 Å, c = 6.991 Å
α = 90.00°, β = 90.00°, γ = 90.00°
Fractional coordinates of all 4 atoms:
Ca (0.000, 0.000, 0.000)
Zr (0.000, 0.000, 0.500)
Zn (0.500, 0.500, 0.284)
Zn (0.500, 0.500, 0.716)